Here is a geometry-optimized SrCrS2O8 structure from Alexandria. Energies are from PBE with a Hubbard U.

Lattice parameters (Å, degrees): 4.8974 4.8974 21.9269 90.00 90.00 120.00
Space group R-3 (No. 148, hexagonal axes)
Symmetry-distinct sites (fractional):
Sr 0.0000 0.0000 0.0000 x3
Cr 0.0000 0.0000 0.5000 x3
S 0.0000 0.0000 0.2486 x6
O 0.0000 0.0000 0.3168 x6
O 0.0002 0.2898 0.2277 x18

## Properties
DFT total energy = -235.49 eV per cell